Compound: Sm2Sn2Pd3Pt
Source: the Open Quantum Materials Database
Functional: PBE-GGA
Structure: relaxed

Unit cell a=4.6191 b=4.6191 c=9.1476 alpha=90.00 beta=90.00 gamma=120.00
Atoms (fractional coordinates):
Pd 0.6667 0.3333 0.0875
Pd 0.6667 0.3333 0.4171
Pd 0.0000 0.0000 0.5826
Pt 0.0000 0.0000 0.9150
Sm 0.0000 0.0000 0.2490
Sm 0.6667 0.3333 0.7524
Sn 0.3333 0.6667 0.4986
Sn 0.3333 0.6667 0.9978

For the total energy, the calculation gives -5.774 eV/atom. As for the crystal system: trigonal. The spin magnetization comes out at 0.001 μB/atom.